Material: CaGa2SiNi4
Method: DFT, GGA-PBE
State: optimized geometry

Calculated values
- uncorrected energy (eV per atom) = -4.99
- E_form (uncorrected) (meV/atom) = -413.5

a = 8.7188 Å, b = 8.7188 Å, c = 8.7188 Å
α = 26.84°, β = 26.84°, γ = 26.84°
With the nearest neighbours (Å) after each atom.
Atoms (fractional coordinates):
Ca  0.0000  0.0000  0.0000  6 Ni 3.07, 6 Ga 3.23
Ga  0.2446  0.2446  0.2446  3 Ni 2.35
Ga  0.7554  0.7554  0.7554  3 Ni 2.35
Si  0.5000  0.5000  0.5000  8 Ni 2.20-2.44
Ni  0.1387  0.1387  0.1387  3 Si 2.44, 4 Ga 2.65-2.67, 3 Ni 2.73
Ni  0.4126  0.4126  0.4126  1 Si 2.20, 3 Ga 2.35
Ni  0.5874  0.5874  0.5874  1 Si 2.20, 3 Ga 2.35
Ni  0.8613  0.8613  0.8613  3 Si 2.44, 4 Ga 2.65-2.67, 3 Ni 2.73

=====

Material: ZrZnCoRu
Method: DFT, GGA-PBE
State: optimized geometry

Calculated values
- uncorrected energy (eV per atom) = -6.80
- energy relative to the elements (meV/atom) = -252.8

a = 6.1976 Å, b = 6.1976 Å, c = 6.1976 Å
α = 90.00°, β = 90.00°, γ = 90.00°
With the nearest neighbours (Å) after each atom.
Atoms (fractional coordinates):
Zr  0.0000  0.0000  0.0000  4 Co 2.68, 4 Ru 2.68
Zr  0.0000  0.5000  0.5000  4 Co 2.68, 4 Ru 2.68
Zr  0.5000  0.0000  0.5000  4 Co 2.68, 4 Ru 2.68
Zr  0.5000  0.5000  0.0000  4 Co 2.68, 4 Ru 2.68
Zn  0.0000  0.0000  0.5000  4 Co 2.68, 4 Ru 2.68
Zn  0.0000  0.5000  0.0000  4 Co 2.68, 4 Ru 2.68
Zn  0.5000  0.0000  0.0000  4 Co 2.68, 4 Ru 2.68
Zn  0.5000  0.5000  0.5000  4 Co 2.68, 4 Ru 2.68
Co  0.2500  0.2500  0.7500  4 Zn 2.68, 4 Zr 2.68
Co  0.2500  0.7500  0.2500  4 Zn 2.68, 4 Zr 2.68
Co  0.7500  0.2500  0.2500  4 Zn 2.68, 4 Zr 2.68
Co  0.7500  0.7500  0.7500  4 Zn 2.68, 4 Zr 2.68
Ru  0.2500  0.2500  0.2500  4 Zr 2.68, 4 Zn 2.68
Ru  0.2500  0.7500  0.7500  4 Zr 2.68, 4 Zn 2.68
Ru  0.7500  0.2500  0.7500  4 Zr 2.68, 4 Zn 2.68
Ru  0.7500  0.7500  0.2500  4 Zr 2.68, 4 Zn 2.68

=====

Material: Ca12Al3H5
Method: DFT, GGA-PBE
State: optimized geometry

Calculated values
- uncorrected energy (eV per atom) = -2.81

a = 13.9374 Å, b = 13.9374 Å, c = 13.9374 Å
α = 109.47°, β = 109.47°, γ = 109.47°
With the nearest neighbours (Å) after each atom.
Atoms (fractional coordinates):
Ca  0.0196  0.2101  0.1181  1 H 2.29
Ca  0.0196  0.3096  0.9015  1 H 2.29
Ca  0.0920  0.7101  0.6904  1 H 2.29
Ca  0.0920  0.8819  0.4015  1 H 2.29
Ca  0.0985  0.6181  0.4080  1 H 2.29
Ca  0.0985  0.9804  0.6904  1 H 2.29
Ca  0.1181  0.0196  0.2101  1 H 2.29
Ca  0.1181  0.5985  0.9080  1 H 2.29
Ca  0.1904  0.2101  0.5920  1 H 2.29
Ca  0.1904  0.4804  0.5985  1 H 2.29
Ca  0.2101  0.1181  0.0196  1 H 2.29
Ca  0.2101  0.5920  0.1904  1 H 2.29
Ca  0.2899  0.3096  0.9080  1 H 2.29
Ca  0.2899  0.4804  0.3819  1 H 2.29
Ca  0.3096  0.9015  0.0196  1 H 2.29
Ca  0.3096  0.9080  0.2899  1 H 2.29
Ca  0.3819  0.2899  0.4804  1 H 2.29
Ca  0.3819  0.5920  0.9015  1 H 2.29
Ca  0.4015  0.0920  0.8819  1 H 2.29
Ca  0.4015  0.8096  0.5196  1 H 2.29
Ca  0.4080  0.0985  0.6181  1 H 2.29
Ca  0.4080  0.8096  0.7899  1 H 2.29
Ca  0.4804  0.3819  0.2899  1 H 2.29
Ca  0.4804  0.5985  0.1904  1 H 2.29
Ca  0.5196  0.4015  0.8096  1 H 2.29
Ca  0.5196  0.6181  0.7101  1 H 2.29
Ca  0.5920  0.1904  0.2101  1 H 2.29
Ca  0.5920  0.9015  0.3819  1 H 2.29
Ca  0.5985  0.1904  0.4804  1 H 2.29
Ca  0.5985  0.9080  0.1181  1 H 2.29
Ca  0.6181  0.4080  0.0985  1 H 2.29
Ca  0.6181  0.7101  0.5196  1 H 2.29
Ca  0.6904  0.0920  0.7101  1 H 2.29
Ca  0.6904  0.0985  0.9804  1 H 2.29
Ca  0.7101  0.5196  0.6181  1 H 2.29
Ca  0.7101  0.6904  0.0920  1 H 2.29
Ca  0.7899  0.4080  0.8096  1 H 2.29
Ca  0.7899  0.8819  0.9804  1 H 2.29
Ca  0.8096  0.5196  0.4015  1 H 2.29
Ca  0.8096  0.7899  0.4080  1 H 2.29
Ca  0.8819  0.4015  0.0920  1 H 2.29
Ca  0.8819  0.9804  0.7899  1 H 2.29
Ca  0.9015  0.0196  0.3096  1 H 2.29
Ca  0.9015  0.3819  0.5920  1 H 2.29
Ca  0.9080  0.1181  0.5985  1 H 2.29
Ca  0.9080  0.2899  0.3096  1 H 2.29
Ca  0.9804  0.6904  0.0985  1 H 2.29
Ca  0.9804  0.7899  0.8819  1 H 2.29
Al  0.1250  0.2500  0.3750  8 Ca 3.15-3.21
Al  0.1250  0.3750  0.7500  8 Ca 3.15-3.21
Al  0.2500  0.3750  0.1250  8 Ca 3.15-3.21
Al  0.2500  0.8750  0.6250  8 Ca 3.15-3.21
Al  0.3750  0.1250  0.2500  8 Ca 3.15-3.21
Al  0.3750  0.7500  0.1250  8 Ca 3.15-3.21
Al  0.6250  0.2500  0.8750  8 Ca 3.15-3.21
Al  0.6250  0.8750  0.7500  8 Ca 3.15-3.21
Al  0.7500  0.1250  0.3750  8 Ca 3.15-3.21
Al  0.7500  0.6250  0.8750  8 Ca 3.15-3.21
Al  0.8750  0.6250  0.2500  8 Ca 3.15-3.21
Al  0.8750  0.7500  0.6250  8 Ca 3.15-3.21
H  0.0000  0.0000  0.0000  6 Ca 2.70
H  0.0000  0.0000  0.5000  6 Ca 2.70
H  0.0000  0.5000  0.0000  6 Ca 2.70
H  0.0000  0.5000  0.5000  6 Ca 2.70
H  0.1250  0.7500  0.8750  4 Ca 2.29
H  0.1250  0.8750  0.2500  4 Ca 2.29
H  0.2500  0.1250  0.8750  4 Ca 2.29
H  0.2500  0.6250  0.3750  4 Ca 2.29
H  0.3750  0.2500  0.6250  4 Ca 2.29
H  0.3750  0.6250  0.7500  4 Ca 2.29
H  0.5000  0.0000  0.0000  6 Ca 2.70
H  0.5000  0.0000  0.5000  6 Ca 2.70
H  0.5000  0.5000  0.0000  6 Ca 2.70
H  0.5000  0.5000  0.5000  6 Ca 2.70
H  0.6250  0.3750  0.2500  4 Ca 2.29
H  0.6250  0.7500  0.3750  4 Ca 2.29
H  0.7500  0.3750  0.6250  4 Ca 2.29
H  0.7500  0.8750  0.1250  4 Ca 2.29
H  0.8750  0.1250  0.7500  4 Ca 2.29
H  0.8750  0.2500  0.1250  4 Ca 2.29